# DyZnH8Ir2

A relaxed DyZnH8Ir2 crystal (PBE, Alexandria).

Unit cell a=4.617 b=4.617 c=6.136 alpha=108.78 beta=108.78 gamma=55.08
Fractional coordinates of all 12 atoms:
1 Dy 0.000 0.000 0.000
2 Zn 0.500 0.500 0.500
3 H 0.092 0.569 0.179
4 H 0.213 0.213 0.374
5 H 0.418 0.418 0.838
6 H 0.431 0.908 0.821
7 H 0.569 0.092 0.179
8 H 0.582 0.582 0.162
9 H 0.787 0.787 0.626
10 H 0.908 0.431 0.821
11 Ir 0.208 0.208 0.647
12 Ir 0.792 0.792 0.353

## Properties
crystal system = monoclinic

# CsNp4Ni3Se12

A relaxed CsNp4Ni3Se12 crystal (PBE, Alexandria).

Unit cell a=8.804 b=8.804 c=8.804 alpha=109.47 beta=109.47 gamma=109.47
Fractional coordinates of all 20 atoms:
1 Cs 0.000 0.000 0.000
2 Np 0.000 0.000 0.500
3 Np 0.000 0.500 0.000
4 Np 0.500 0.000 0.000
5 Np 0.500 0.500 0.500
6 Ni 0.000 0.500 0.500
7 Ni 0.500 0.000 0.500
8 Ni 0.500 0.500 0.000
9 Se 0.161 0.492 0.331
10 Se 0.161 0.830 0.669
11 Se 0.170 0.331 0.839
12 Se 0.331 0.161 0.492
13 Se 0.331 0.839 0.170
14 Se 0.492 0.331 0.161
15 Se 0.508 0.669 0.839
16 Se 0.669 0.161 0.830
17 Se 0.669 0.839 0.508
18 Se 0.830 0.669 0.161
19 Se 0.839 0.170 0.331
20 Se 0.839 0.508 0.669

## Properties
crystal system = cubic
ΔE_f (raw) = -636 meV/atom

# CdCu2Pd6

A relaxed CdCu2Pd6 crystal (PBE, Alexandria).

Unit cell a=4.776 b=4.776 c=8.306 alpha=105.19 beta=105.19 gamma=48.98
Fractional coordinates of all 9 atoms:
1 Cd 0.000 0.000 0.000
2 Cu 0.324 0.324 0.769
3 Cu 0.676 0.676 0.231
4 Pd 0.002 0.002 0.333
5 Pd 0.333 0.333 0.445
6 Pd 0.335 0.335 0.113
7 Pd 0.665 0.665 0.887
8 Pd 0.667 0.667 0.555
9 Pd 0.998 0.998 0.667

## Properties
E_form = -0.1410 eV per atom
crystal system = monoclinic

# PmZrAl

A relaxed PmZrAl crystal (PBE, Alexandria).

Unit cell a=5.091 b=5.091 c=3.079 alpha=90.00 beta=90.00 gamma=120.00
Fractional coordinates of all 3 atoms:
1 Pm 0.000 0.000 0.000
2 Zr 0.667 0.333 0.000
3 Al 0.333 0.667 0.500

## Properties
E_form = 0.0753 eV per atom
crystal system = hexagonal
energy above the lowest structure with this stoichiometry = 265 meV/atom

The following calculated density values (in g/cm³) correspond, in order, to the records above: 10.3 7.0 10.7 6.3.
The following electronic total energy values (in eV/atom) correspond, in order, to the records above: -4.386 -6.225 -4.615 -5.605.